1.
# CoSbIr2 (GGA-PBE, relaxed)
# Raw total energy = -6.99 eV per atom
# Total magnetization = 0.9 μB/f.u.
# Raw formation energy = 246 meV/atom
# Fermi-level density of states = 4.446 states/eV/f.u.
data_CoSbIr2
_chemical_formula_sum 'Co2 Sb2 Ir4'
_space_group_name_H-M_alt 'C m m m'
_space_group_IT_number 65
_space_group_name_Hall '-C 2 2'
_cell_length_a 5.5763
_cell_length_b 7.3682
_cell_length_c 2.9560
_cell_angle_alpha 90.00
_cell_angle_beta 90.00
_cell_angle_gamma 90.00
loop_
_atom_site_label
_atom_site_type_symbol
_atom_site_fract_x
_atom_site_fract_y
_atom_site_fract_z
_atom_site_occupancy
Co1 Co 0.0000 0.0000 0.0000 1
Sb1 Sb 0.0000 0.5000 0.0000 1
Ir1 Ir 0.2500 0.2500 0.5000 1


2.
# Co2SbIr (GGA-PBE, relaxed)
# Raw total energy = -6.35 eV per atom
# Total magnetization = 3.5 μB/f.u.
# Raw formation energy = 447 meV/atom
# Fermi-level density of states = 4.713 states/eV/f.u.
data_Co2SbIr
_chemical_formula_sum 'Co6 Sb3 Ir3'
_space_group_name_H-M_alt 'R 3 m'
_space_group_IT_number 160
_space_group_name_Hall 'R 3 -2"'
_cell_length_a 2.9652
_cell_length_b 2.9652
_cell_length_c 23.8566
_cell_angle_alpha 90.00
_cell_angle_beta 90.00
_cell_angle_gamma 120.00
loop_
_atom_site_label
_atom_site_type_symbol
_atom_site_fract_x
_atom_site_fract_y
_atom_site_fract_z
_atom_site_occupancy
Co1 Co 0.0000 0.0000 0.0000 1
Co2 Co 0.0000 0.0000 0.2604 1
Sb1 Sb 0.0000 0.0000 0.5077 1
Ir1 Ir 0.0000 0.0000 0.7501 1


3.
# CoSbIr3 (GGA-PBE, relaxed)
# Raw total energy = -6.36 eV per atom
# Total magnetization = 2.8 μB/f.u.
# Raw formation energy = 1198 meV/atom
# Fermi-level density of states = 5.784 states/eV/f.u.
# E above lowest polymorph = 0 meV/atom
data_CoSbIr3
_chemical_formula_sum 'Co1 Sb1 Ir3'
_space_group_name_H-M_alt 'P m -3 m'
_space_group_IT_number 221
_space_group_name_Hall '-P 4 2 3'
_cell_length_a 4.5160
_cell_length_b 4.5160
_cell_length_c 4.5160
_cell_angle_alpha 90.00
_cell_angle_beta 90.00
_cell_angle_gamma 90.00
loop_
_atom_site_label
_atom_site_type_symbol
_atom_site_fract_x
_atom_site_fract_y
_atom_site_fract_z
_atom_site_occupancy
Co1 Co 0.0000 0.0000 0.0000 1
Sb1 Sb 0.5000 0.5000 0.5000 1
Ir1 Ir 0.0000 0.0000 0.5000 1


4.
# CoSbIr2 (GGA-PBE, relaxed)
# Raw total energy = -6.82 eV per atom
# Total magnetization = 1.8 μB/f.u.
# Raw formation energy = 413 meV/atom
# Fermi-level density of states = 6.511 states/eV/f.u.
data_CoSbIr2
_chemical_formula_sum 'Co4 Sb4 Ir8'
_space_group_name_H-M_alt 'I -4 2 d'
_space_group_IT_number 122
_space_group_name_Hall 'I -4 2bw'
_cell_length_a 3.9118
_cell_length_b 3.9118
_cell_length_c 17.6320
_cell_angle_alpha 90.00
_cell_angle_beta 90.00
_cell_angle_gamma 90.00
loop_
_atom_site_label
_atom_site_type_symbol
_atom_site_fract_x
_atom_site_fract_y
_atom_site_fract_z
_atom_site_occupancy
Co1 Co 0.0000 0.0000 0.0000 1
Sb1 Sb 0.0000 0.0000 0.5000 1
Ir1 Ir 0.2136 0.2500 0.1250 1


5.
# ScCoSbIr2 (GGA-PBE, relaxed)
# Raw total energy = -6.64 eV per atom
# Total magnetization = 1.8 μB/f.u.
# Raw formation energy = 418 meV/atom
# Fermi-level density of states = 5.157 states/eV/f.u.
data_ScCoSbIr2
_chemical_formula_sum 'Sc1 Co1 Sb1 Ir2'
_space_group_name_H-M_alt 'P 4/m m m'
_space_group_IT_number 123
_space_group_name_Hall '-P 4 2'
_cell_length_a 4.5884
_cell_length_b 4.5884
_cell_length_c 4.4905
_cell_angle_alpha 90.00
_cell_angle_beta 90.00
_cell_angle_gamma 90.00
loop_
_atom_site_label
_atom_site_type_symbol
_atom_site_fract_x
_atom_site_fract_y
_atom_site_fract_z
_atom_site_occupancy
Sc1 Sc 0.0000 0.0000 0.0000 1
Co1 Co 0.0000 0.0000 0.5000 1
Sb1 Sb 0.5000 0.5000 0.0000 1
Ir1 Ir 0.0000 0.5000 0.5000 1


6.
# CoSb2TeIr (GGA-PBE, relaxed)
# Raw total energy = -4.71 eV per atom
# Total magnetization = 0.0 μB/f.u.
# Raw formation energy = 759 meV/atom
# Fermi-level density of states = 4.121 states/eV/f.u.
# E above lowest polymorph = 0 meV/atom
data_CoSb2TeIr
_chemical_formula_sum 'Co1 Sb2 Te1 Ir1'
_space_group_name_H-M_alt 'P 4/m m m'
_space_group_IT_number 123
_space_group_name_Hall '-P 4 2'
_cell_length_a 4.7531
_cell_length_b 4.7531
_cell_length_c 4.9462
_cell_angle_alpha 90.00
_cell_angle_beta 90.00
_cell_angle_gamma 90.00
loop_
_atom_site_label
_atom_site_type_symbol
_atom_site_fract_x
_atom_site_fract_y
_atom_site_fract_z
_atom_site_occupancy
Co1 Co 0.0000 0.0000 0.0000 1
Sb1 Sb 0.0000 0.5000 0.0000 1
Te1 Te 0.0000 0.0000 0.5000 1
Ir1 Ir 0.5000 0.5000 0.5000 1